Density functional theory data (PBE) for an optimized crystal structure of Sr3Mg12Tl5.

Volume = 37.8 Å³ per atom
Electronic total energy = -121.610 eV for the cell shown

The structure in CIF format:
```
data_Sr3Mg12Tl5
_chemical_formula_sum 'Sr12 Mg48 Tl20'
_symmetry_space_group_name_H-M 'P 1'
_symmetry_Int_Tables_number 1
_symmetry_space_group_name_Hall 'P 1'
_cell_length_a 15.783
_cell_length_b 15.783
_cell_length_c 15.783
_cell_angle_alpha 109.47
_cell_angle_beta 109.47
_cell_angle_gamma 109.47
loop_
_atom_site_label
_atom_site_type_symbol
_atom_site_fract_x
_atom_site_fract_y
_atom_site_fract_z
_atom_site_occupancy
Mg1 Mg 0.463 0.019 0.824 1
Mg2 Mg 0.463 0.444 0.138 1
Mg3 Mg 0.037 0.676 0.481 1
Sr1 Sr 0.125 0.875 0.750 1
Mg4 Mg 0.695 0.519 0.556 1
Tl1 Tl 0.375 0.250 0.125 1
Mg5 Mg 0.862 0.805 0.824 1
Sr2 Sr 0.250 0.625 0.875 1
Sr3 Sr 0.875 0.750 0.125 1
Sr4 Sr 0.875 0.125 0.250 1
Mg6 Mg 0.638 0.963 0.444 1
Tl2 Tl 0.250 0.875 0.125 1
Mg7 Mg 0.556 0.537 0.362 1
Mg8 Mg 0.805 0.862 0.324 1
Mg9 Mg 0.981 0.444 0.805 1
Mg10 Mg 0.944 0.138 0.963 1
Tl3 Tl 0.000 0.000 0.000 1
Mg11 Mg 0.824 0.519 0.463 1
Tl4 Tl 0.875 0.625 0.750 1
Sr5 Sr 0.375 0.625 0.250 1
Mg12 Mg 0.444 0.463 0.638 1
Mg13 Mg 0.444 0.981 0.305 1
Mg14 Mg 0.019 0.556 0.195 1
Mg15 Mg 0.037 0.362 0.056 1
Mg16 Mg 0.481 0.176 0.037 1
Tl5 Tl 0.125 0.375 0.250 1
Mg17 Mg 0.362 0.037 0.556 1
Mg18 Mg 0.195 0.138 0.676 1
Tl6 Tl 0.500 0.000 0.000 1
Mg19 Mg 0.305 0.824 0.362 1
Sr6 Sr 0.250 0.125 0.375 1
Mg20 Mg 0.305 0.481 0.444 1
Tl7 Tl 0.625 0.875 0.250 1
Mg21 Mg 0.862 0.056 0.537 1
Tl8 Tl 0.375 0.125 0.750 1
Tl9 Tl 0.000 0.500 0.500 1
Mg22 Mg 0.138 0.195 0.176 1
Mg23 Mg 0.963 0.638 0.944 1
Mg24 Mg 0.056 0.195 0.519 1
Mg25 Mg 0.537 0.981 0.176 1
Mg26 Mg 0.362 0.324 0.305 1
Mg27 Mg 0.195 0.056 0.019 1
Mg28 Mg 0.676 0.638 0.195 1
Mg29 Mg 0.019 0.463 0.324 1
Tl10 Tl 0.875 0.250 0.625 1
Tl11 Tl 0.500 0.000 0.500 1
Mg30 Mg 0.324 0.963 0.019 1
Mg31 Mg 0.805 0.944 0.981 1
Tl12 Tl 0.500 0.500 0.500 1
Tl13 Tl 0.750 0.625 0.375 1
Mg32 Mg 0.695 0.176 0.638 1
Mg33 Mg 0.519 0.824 0.963 1
Sr7 Sr 0.625 0.250 0.375 1
Mg34 Mg 0.824 0.305 0.862 1
Mg35 Mg 0.638 0.676 0.695 1
Tl14 Tl 0.000 0.500 0.000 1
Mg36 Mg 0.176 0.695 0.138 1
Sr8 Sr 0.750 0.875 0.625 1
Mg37 Mg 0.981 0.537 0.676 1
Mg38 Mg 0.676 0.037 0.981 1
Tl15 Tl 0.000 0.000 0.500 1
Mg39 Mg 0.176 0.481 0.537 1
Mg40 Mg 0.324 0.362 0.805 1
Sr9 Sr 0.625 0.375 0.750 1
Tl16 Tl 0.125 0.750 0.375 1
Mg41 Mg 0.556 0.019 0.695 1
Tl17 Tl 0.500 0.500 0.000 1
Mg42 Mg 0.138 0.944 0.463 1
Sr10 Sr 0.375 0.750 0.625 1
Tl18 Tl 0.250 0.375 0.625 1
Tl19 Tl 0.625 0.750 0.875 1
Mg43 Mg 0.944 0.805 0.481 1
Mg44 Mg 0.481 0.305 0.944 1
Sr11 Sr 0.750 0.375 0.125 1
Mg45 Mg 0.519 0.695 0.056 1
Mg46 Mg 0.056 0.862 0.037 1
Mg47 Mg 0.537 0.556 0.862 1
Sr12 Sr 0.125 0.250 0.875 1
Tl20 Tl 0.750 0.125 0.875 1
Mg48 Mg 0.963 0.324 0.519 1
```